[1]
Density functional theory data (PBE-GGA) for a relaxed La2PuP3 crystal.

Cell lengths 5.917, 8.374, 7.241 Å; angles 106.81, 114.12, 90.00 degrees
Site moments in Bohr magnetons follow the coordinates.
Positions (direct):
La  0.668  0.584  0.335  -0.01
La  0.668  0.084  0.335  -0.01
La  0.332  0.916  0.665  -0.01
La  0.332  0.416  0.665  -0.01
Pu  0.000  0.750  0.000  -4.95
Pu  0.000  0.250  0.000  -4.95
P  0.500  0.250  0.000  0.07
P  0.500  0.750  0.000  0.07
P  0.155  0.077  0.309  0.09
P  0.845  0.423  0.691  0.09
P  0.155  0.577  0.309  0.09
P  0.845  0.923  0.691  0.09

Computed properties:
Formation energy from the elements ... -8.371 eV/f.u.
Space-group type ... Immm, No. 71
Energy ... -8.13 eV/atom
Density ... 6.57 g/cm3
Calculated volume ... 310.6 Å³ per cell

***

[2]
Density functional theory data (PBE-GGA) for a relaxed La2PuP3Rh4 crystal.

Cell lengths 4.076, 4.076, 11.216 Å; angles 90.00, 90.00, 90.00 degrees
Site moments in Bohr magnetons follow the coordinates.
Positions (direct):
La  0.500  0.000  0.230  0.05
La  0.000  0.500  0.770  0.05
Pu  0.500  0.500  0.500  5.04
P  0.000  0.000  0.500  -0.10
P  0.500  0.000  0.879  0.01
P  0.000  0.500  0.121  0.01
Rh  0.500  0.500  0.000  0.07
Rh  0.000  0.000  0.000  0.05
Rh  0.500  0.000  0.668  -0.10
Rh  0.000  0.500  0.332  -0.10

Computed properties:
Formation energy from the elements ... -10.127 eV/f.u.
Space-group type ... P-4m2, No. 115
Energy ... -7.99 eV/atom
Density ... 9.15 g/cm3
Calculated volume ... 186.4 Å³ per cell

***

[3]
Density functional theory data (PBE-GGA) for a relaxed LaPuP2Ru crystal.

Cell lengths 4.102, 4.102, 6.635 Å; angles 108.01, 108.01, 90.00 degrees
Site moments in Bohr magnetons follow the coordinates.
Positions (direct):
La  0.000  0.000  0.000  0.07
Pu  0.750  0.250  0.500  4.93
P  0.600  0.600  0.199  -0.03
P  0.400  0.400  0.801  -0.03
Ru  0.250  0.750  0.500  -0.56

Computed properties:
Formation energy from the elements ... -3.880 eV/f.u.
Space-group type ... I-4m2, No. 119
Energy ... -8.65 eV/atom
Density ... 9.03 g/cm3
Calculated volume ... 100.4 Å³ per cell

***

[4]
Density functional theory data (PBE-GGA) for a relaxed LaPuPS crystal.

Cell lengths 4.115, 4.115, 7.084 Å; angles 73.12, 73.12, 60.00 degrees
Site moments in Bohr magnetons follow the coordinates.
Positions (direct):
La  0.695  0.695  0.915  0.06
Pu  0.193  0.193  0.420  5.17
P  0.449  0.449  0.652  -0.08
S  0.938  0.938  0.185  -0.07

Computed properties:
Formation energy from raw total energies ... -1690 meV/atom
Space-group type ... R3m, No. 160
Energy ... -8.89 eV/atom
Density ... 7.57 g/cm3
Calculated volume ... 97.9 Å³ per cell